# GGA-PBE Mn3HgH, relaxed
data_Mn3HgH
_chemical_formula_sum 'Mn3 Hg1 H1'
_space_group_name_H-M_alt 'P m -3 m'
_space_group_IT_number 221
_space_group_name_Hall '-P 4 2 3'
_cell_length_a 5.1482
_cell_length_b 5.1482
_cell_length_c 5.1482
_cell_angle_alpha 90.00
_cell_angle_beta 90.00
_cell_angle_gamma 90.00
loop_
_atom_site_label
_atom_site_type_symbol
_atom_site_fract_x
_atom_site_fract_y
_atom_site_fract_z
Mn1 Mn 0.0000 0.0000 0.5000
Hg1 Hg 0.0000 0.0000 0.0000
H1 H 0.5000 0.5000 0.5000
# - DOS at the Fermi energy (states/eV per atom) = 0.2549
# - M_tot (μB per formula unit) = 14.03
# - energy above the lowest structure with this stoichiometry (meV per atom) = 1314


# GGA-PBE La2ReBr, relaxed
data_La2ReBr
_chemical_formula_sum 'La4 Re2 Br2'
_space_group_name_H-M_alt 'I m m m'
_space_group_IT_number 71
_space_group_name_Hall '-I 2 2'
_cell_length_a 4.7475
_cell_length_b 5.8277
_cell_length_c 7.5416
_cell_angle_alpha 90.00
_cell_angle_beta 90.00
_cell_angle_gamma 90.00
loop_
_atom_site_label
_atom_site_type_symbol
_atom_site_fract_x
_atom_site_fract_y
_atom_site_fract_z
La1 La 0.0000 0.0000 0.2303
Re1 Re 0.0000 0.5000 0.5000
Br1 Br 0.0000 0.5000 0.0000
# - DOS at the Fermi energy (states/eV per atom) = 0.9400
# - M_tot (μB per formula unit) = 0.42
# - energy above the lowest structure with this stoichiometry (meV per atom) = 441


# GGA-PBE BaNaMg2Pd, relaxed
data_BaNaMg2Pd
_chemical_formula_sum 'Ba1 Na1 Mg2 Pd1'
_space_group_name_H-M_alt 'P 4/m m m'
_space_group_IT_number 123
_space_group_name_Hall '-P 4 2'
_cell_length_a 5.1954
_cell_length_b 5.1954
_cell_length_c 5.5969
_cell_angle_alpha 90.00
_cell_angle_beta 90.00
_cell_angle_gamma 90.00
loop_
_atom_site_label
_atom_site_type_symbol
_atom_site_fract_x
_atom_site_fract_y
_atom_site_fract_z
Ba1 Ba 0.0000 0.0000 0.0000
Na1 Na 0.5000 0.5000 0.0000
Mg1 Mg 0.0000 0.5000 0.5000
Pd1 Pd 0.5000 0.5000 0.5000
# - DOS at the Fermi energy (states/eV per atom) = 0.5952
# - M_tot (μB per formula unit) = 0.00
# - energy above the lowest structure with this stoichiometry (meV per atom) = 0
# - formation enthalpy at 0 K (eV/atom) = -0.20


# GGA-PBE CaScPb, relaxed
data_CaScPb
_chemical_formula_sum 'Ca2 Sc2 Pb2'
_space_group_name_H-M_alt 'I m m 2'
_space_group_IT_number 44
_cell_length_a 3.5618
_cell_length_b 4.3739
_cell_length_c 10.9233
_cell_angle_alpha 90.00
_cell_angle_beta 90.00
_cell_angle_gamma 90.00
loop_
_space_group_symop_operation_xyz
'x,y,z'
'-x,-y,z'
'-x,y,z'
'x,-y,z'
'x+1/2,y+1/2,z+1/2'
'-x+1/2,-y+1/2,z+1/2'
'-x+1/2,y+1/2,z+1/2'
'x+1/2,-y+1/2,z+1/2'
loop_
_atom_site_label
_atom_site_type_symbol
_atom_site_fract_x
_atom_site_fract_y
_atom_site_fract_z
Ca1 Ca 0.0000 0.0000 0.0000
Sc1 Sc 0.0000 0.0000 0.6950
Pb1 Pb 0.0000 0.0000 0.3234
# - DOS at the Fermi energy (states/eV per atom) = 1.0272
# - M_tot (μB per formula unit) = 1.38
# - formation enthalpy at 0 K (eV/atom) = -0.21


# GGA-PBE CaPr2H, relaxed
data_CaPr2H
_chemical_formula_sum 'Ca3 Pr6 H3'
_space_group_name_H-M_alt 'R -3 m'
_space_group_IT_number 166
_space_group_name_Hall '-R 3 2"'
_cell_length_a 3.8147
_cell_length_b 3.8147
_cell_length_c 27.6717
_cell_angle_alpha 90.00
_cell_angle_beta 90.00
_cell_angle_gamma 120.00
loop_
_atom_site_label
_atom_site_type_symbol
_atom_site_fract_x
_atom_site_fract_y
_atom_site_fract_z
Ca1 Ca 0.0000 0.0000 0.0000
Pr1 Pr 0.0000 0.0000 0.2172
H1 H 0.0000 0.0000 0.5000
# - DOS at the Fermi energy (states/eV per atom) = 1.1075
# - M_tot (μB per formula unit) = 0.00
# - total energy (eV/cell) = -46.338


# GGA-PBE Ba2ZrRu, relaxed
data_Ba2ZrRu
_chemical_formula_sum 'Ba4 Zr2 Ru2'
_space_group_name_H-M_alt 'I m m 2'
_space_group_IT_number 44
_cell_length_a 3.7934
_cell_length_b 6.0878
_cell_length_c 11.8037
_cell_angle_alpha 90.00
_cell_angle_beta 90.00
_cell_angle_gamma 90.00
loop_
_space_group_symop_operation_xyz
'x,y,z'
'-x,-y,z'
'-x,y,z'
'x,-y,z'
'x+1/2,y+1/2,z+1/2'
'-x+1/2,-y+1/2,z+1/2'
'-x+1/2,y+1/2,z+1/2'
'x+1/2,-y+1/2,z+1/2'
loop_
_atom_site_label
_atom_site_type_symbol
_atom_site_fract_x
_atom_site_fract_y
_atom_site_fract_z
Ba1 Ba 0.0000 0.0000 0.0000
Ba2 Ba 0.0000 0.5000 0.1922
Zr1 Zr 0.0000 0.0000 0.3746
Ru1 Ru 0.0000 0.5000 0.7387
# - DOS at the Fermi energy (states/eV per atom) = 1.2270
# - M_tot (μB per formula unit) = 0.00
# - energy above the lowest structure with this stoichiometry (meV per atom) = 151
# - formation enthalpy at 0 K (eV/atom) = 0.25


Look up the DOS at the Fermi energy of the fourth one.
1.0272 states/eV per atom


What did the sixth record say?
# GGA-PBE Ba2ZrRu, relaxed
data_Ba2ZrRu
_chemical_formula_sum 'Ba4 Zr2 Ru2'
_space_group_name_H-M_alt 'I m m 2'
_space_group_IT_number 44
_cell_length_a 3.7934
_cell_length_b 6.0878
_cell_length_c 11.8037
_cell_angle_alpha 90.00
_cell_angle_beta 90.00
_cell_angle_gamma 90.00
loop_
_space_group_symop_operation_xyz
'x,y,z'
'-x,-y,z'
'-x,y,z'
'x,-y,z'
'x+1/2,y+1/2,z+1/2'
'-x+1/2,-y+1/2,z+1/2'
'-x+1/2,y+1/2,z+1/2'
'x+1/2,-y+1/2,z+1/2'
loop_
_atom_site_label
_atom_site_type_symbol
_atom_site_fract_x
_atom_site_fract_y
_atom_site_fract_z
Ba1 Ba 0.0000 0.0000 0.0000
Ba2 Ba 0.0000 0.5000 0.1922
Zr1 Zr 0.0000 0.0000 0.3746
Ru1 Ru 0.0000 0.5000 0.7387
# - DOS at the Fermi energy (states/eV per atom) = 1.2270
# - M_tot (μB per formula unit) = 0.00
# - energy above the lowest structure with this stoichiometry (meV per atom) = 151
# - formation enthalpy at 0 K (eV/atom) = 0.25